Entry from Alexandria: a PBEsol-optimized structure of Sc2PbAu (SCAN).

Computed properties:
- volume (A^3/atom) = 21.1
- total DFT energy (no corrections) (eV per cell) = -176.532

a b c (Å): 3.4329 3.4329 7.1752
angles (deg): 90.00 90.00 90.00
Last column: nearest neighbours and their distance in Å.
Fractional positions:
Sc (0.0000, 0.0000, 0.2243)  4 Au 2.91, 4 Pb 3.13, 1 Sc 3.22
Sc (0.0000, 0.0000, 0.7757)  4 Au 2.91, 4 Pb 3.13, 1 Sc 3.22
Pb (0.5000, 0.5000, 0.5000)  8 Sc 3.13, 4 Pb 3.43
Au (0.5000, 0.5000, 0.0000)  8 Sc 2.91


Entry from Alexandria: a PBEsol-optimized structure of PbAu2Se2 (SCAN).

Computed properties:
- volume (A^3/atom) = 22.0
- total DFT energy (no corrections) (eV per cell) = -254.309
- formation energy without anion corrections (kJ/mol of formula units) = -5
- E above lowest polymorph (meV/atom) = 0

a b c (Å): 3.8895 3.8895 7.7658
angles (deg): 104.50 104.50 90.00
Last column: nearest neighbours and their distance in Å.
Fractional positions:
Au (0.2500, 0.7500, 0.5000)  4 Au 2.75, 4 Se 2.80
Au (0.7500, 0.2500, 0.5000)  4 Au 2.75, 4 Se 2.80
Se (0.3891, 0.3891, 0.7783)  4 Au 2.80
Se (0.6109, 0.6109, 0.2217)  4 Au 2.80
Pb (0.0000, 0.0000, 0.0000)  8 Se 3.19


Entry from Alexandria: a PBEsol-optimized structure of PbAuSe3 (SCAN).

Computed properties:
- volume (A^3/atom) = 25.5
- total DFT energy (no corrections) (eV per cell) = -204.428
- formation energy without anion corrections (kJ/mol of formula units) = 72

a b c (Å): 5.0363 5.0363 5.0363
angles (deg): 90.00 90.00 90.00
Last column: nearest neighbours and their distance in Å.
Fractional positions:
Se (0.0000, 0.5000, 0.0000)  2 Au 2.52
Se (0.0000, 0.0000, 0.5000)  2 Au 2.52
Se (0.5000, 0.0000, 0.0000)  2 Au 2.52
Au (0.0000, 0.0000, 0.0000)  6 Se 2.52
Pb (0.5000, 0.5000, 0.5000)  12 Se 3.56


Entry from Alexandria: a PBEsol-optimized structure of Pb2AuSe (SCAN).

Computed properties:
- volume (A^3/atom) = 26.1
- total DFT energy (no corrections) (eV per cell) = -241.961
- formation energy without anion corrections (kJ/mol of formula units) = -112

a b c (Å): 4.2069 4.2069 5.8965
angles (deg): 90.00 90.00 90.00
Last column: nearest neighbours and their distance in Å.
Fractional positions:
Au (0.5000, 0.5000, 0.5000)  6 Pb 2.95-2.97
Se (0.0000, 0.0000, 0.0000)  6 Pb 2.95-2.97
Pb (0.0000, 0.0000, 0.5000)  2 Se 2.95, 4 Au 2.97
Pb (0.5000, 0.5000, 0.0000)  2 Au 2.95, 4 Se 2.97


Entry from Alexandria: a PBEsol-optimized structure of PbAu2Se2 (SCAN).

Computed properties:
- volume (A^3/atom) = 22.2
- total DFT energy (no corrections) (eV per cell) = -253.511
- formation energy without anion corrections (kJ/mol of formula units) = 71
- E above lowest polymorph (meV/atom) = 160

a b c (Å): 4.3168 4.3168 6.6893
angles (deg): 108.82 108.82 90.00
Last column: nearest neighbours and their distance in Å.
Fractional positions:
Pb (0.0000, 0.0000, 0.0000)  8 Au 3.32, 8 Se 3.68
Au (0.6100, 0.6100, 0.2199)  1 Au 2.62, 4 Se 2.73
Au (0.3900, 0.3900, 0.7801)  1 Au 2.62, 4 Se 2.73
Se (0.2500, 0.7500, 0.5000)  4 Au 2.73, 4 Se 3.05
Se (0.7500, 0.2500, 0.5000)  4 Au 2.73, 4 Se 3.05


Entry from Alexandria: a PBEsol-optimized structure of SiPbAu4 (SCAN).

Computed properties:
- volume (A^3/atom) = 19.6
- total DFT energy (no corrections) (eV per cell) = -360.840
- formation energy without anion corrections (kJ/mol of formula units) = 153

a b c (Å): 5.5004 5.5004 5.5004
angles (deg): 60.00 60.00 60.00
Last column: nearest neighbours and their distance in Å.
Fractional positions:
Au (0.3747, 0.3747, 0.3747)  6 Au 2.74-2.76
Au (0.8760, 0.3747, 0.3747)  6 Au 2.74-2.76
Au (0.3747, 0.8760, 0.3747)  6 Au 2.74-2.76
Au (0.3747, 0.3747, 0.8760)  6 Au 2.74-2.76
Si (0.0000, 0.0000, 0.0000)  12 Au 3.22, 4 Pb 3.37
Pb (0.7500, 0.7500, 0.7500)  12 Au 3.23, 4 Si 3.37


Entry from Alexandria: a PBEsol-optimized structure of SiPbAu2 (SCAN).

Computed properties:
- volume (A^3/atom) = 19.8
- total DFT energy (no corrections) (eV per cell) = -222.746
- formation energy without anion corrections (kJ/mol of formula units) = 132
- E above lowest polymorph (meV/atom) = 0

a b c (Å): 3.6868 4.6840 4.6840
angles (deg): 101.77 90.00 90.00
Last column: nearest neighbours and their distance in Å.
Fractional positions:
Pb (0.5000, 0.0000, 0.0000)  2 Si 2.96, 8 Au 2.98
Au (0.0000, 0.0000, 0.5000)  2 Au 2.96, 4 Pb 2.98, 4 Si 2.98
Au (0.0000, 0.5000, 0.0000)  2 Au 2.96, 4 Si 2.98, 4 Pb 2.98
Si (0.5000, 0.5000, 0.5000)  2 Pb 2.96, 8 Au 2.98


Entry from Alexandria: a PBEsol-optimized structure of SiPbAu2 (SCAN).

Computed properties:
- volume (A^3/atom) = 19.5
- total DFT energy (no corrections) (eV per cell) = -222.545
- formation energy without anion corrections (kJ/mol of formula units) = 151
- E above lowest polymorph (meV/atom) = 50

a b c (Å): 4.2556 4.2556 5.2494
angles (deg): 113.91 113.91 90.00
Last column: nearest neighbours and their distance in Å.
Fractional positions:
Pb (0.5000, 0.5000, 0.0000)  8 Au 3.01-3.03, 4 Si 3.03
Au (0.0000, 0.0000, 0.0000)  4 Pb 3.01, 4 Si 3.03, 4 Au 3.03
Au (0.7500, 0.2500, 0.5000)  4 Si 3.01, 4 Pb 3.03, 4 Au 3.03
Si (0.2500, 0.7500, 0.5000)  8 Au 3.01-3.03, 4 Pb 3.03


Entry from Alexandria: a PBEsol-optimized structure of SmPbAu2 (SCAN).

Computed properties:
- volume (A^3/atom) = 22.2
- total DFT energy (no corrections) (eV per cell) = -261.491

a b c (Å): 5.0093 5.0093 5.0093
angles (deg): 60.00 60.00 60.00
Last column: nearest neighbours and their distance in Å.
Fractional positions:
Au (0.2500, 0.2500, 0.2500)  4 Pb 3.07, 4 Sm 3.07
Au (0.7500, 0.7500, 0.7500)  4 Pb 3.07, 4 Sm 3.07
Sm (0.5000, 0.5000, 0.5000)  8 Au 3.07
Pb (0.0000, 0.0000, 0.0000)  8 Au 3.07


Entry from Alexandria: a PBEsol-optimized structure of Sn3PbAu (SCAN).

Computed properties:
- volume (A^3/atom) = 30.1
- total DFT energy (no corrections) (eV per cell) = -251.060

a b c (Å): 5.3197 5.3197 5.3197
angles (deg): 90.00 90.00 90.00
Last column: nearest neighbours and their distance in Å.
Fractional positions:
Au (0.0000, 0.0000, 0.0000)  6 Sn 2.66
Sn (0.5000, 0.0000, 0.0000)  2 Au 2.66
Sn (0.0000, 0.0000, 0.5000)  2 Au 2.66
Sn (0.0000, 0.5000, 0.0000)  2 Au 2.66
Pb (0.5000, 0.5000, 0.5000)  12 Sn 3.76


Entry from Alexandria: a PBEsol-optimized structure of Sn2Pb2Au (SCAN).

Computed properties:
- volume (A^3/atom) = 26.7
- total DFT energy (no corrections) (eV per cell) = -584.856

a b c (Å): 5.3022 7.1028 7.1028
angles (deg): 90.00 90.00 90.00
Last column: nearest neighbours and their distance in Å.
Fractional positions:
Pb (0.5000, 0.6777, 0.8223)  6 Sn 3.20-3.51, 1 Pb 3.57
Pb (0.5000, 0.1777, 0.6777)  6 Sn 3.20-3.51, 1 Pb 3.57
Pb (0.5000, 0.8223, 0.3223)  6 Sn 3.20-3.51, 1 Pb 3.57
Pb (0.5000, 0.3223, 0.1777)  6 Sn 3.20-3.51, 1 Pb 3.57
Sn (0.0000, 0.1444, 0.3556)  2 Au 2.73, 1 Sn 2.90
Sn (0.0000, 0.3556, 0.8556)  2 Au 2.73, 1 Sn 2.90
Sn (0.0000, 0.6444, 0.1444)  2 Au 2.73, 1 Sn 2.90
Sn (0.0000, 0.8556, 0.6444)  2 Au 2.73, 1 Sn 2.90
Au (0.0000, 0.5000, 0.5000)  4 Sn 2.73
Au (0.0000, 0.0000, 0.0000)  4 Sn 2.73


Entry from Alexandria: a PBEsol-optimized structure of Sr2PbAu (SCAN).

Computed properties:
- volume (A^3/atom) = 29.2
- total DFT energy (no corrections) (eV per cell) = -191.870

a b c (Å): 4.6909 4.6909 6.2667
angles (deg): 111.98 111.98 90.00
Last column: nearest neighbours and their distance in Å.
Fractional positions:
Au (0.5000, 0.5000, 0.0000)  8 Sr 3.32-3.55, 4 Pb 3.55
Sr (0.7500, 0.2500, 0.5000)  4 Pb 3.32, 4 Sr 3.55, 4 Au 3.55
Sr (0.0000, 0.0000, 0.0000)  4 Au 3.32, 4 Pb 3.55, 4 Sr 3.55
Pb (0.2500, 0.7500, 0.5000)  8 Sr 3.32-3.55, 4 Au 3.55


Entry from Alexandria: a PBEsol-optimized structure of SrPbAu (SCAN).

Computed properties:
- volume (A^3/atom) = 27.1
- total DFT energy (no corrections) (eV per cell) = -169.647

a b c (Å): 3.8740 4.9217 4.9217
angles (deg): 120.00 90.00 90.00
Last column: nearest neighbours and their distance in Å.
Fractional positions:
Au (0.0000, 0.0000, 0.0000)  3 Pb 2.84
Pb (0.0000, 0.3333, 0.6667)  3 Au 2.84
Sr (0.5000, 0.6667, 0.3333)  6 Au 3.44, 6 Pb 3.44


Entry from Alexandria: a PBEsol-optimized structure of Sr2PbAu (SCAN).

Computed properties:
- volume (A^3/atom) = 29.8
- total DFT energy (no corrections) (eV per cell) = -192.727

a b c (Å): 3.7573 5.6330 5.6330
angles (deg): 90.00 90.00 90.00
Last column: nearest neighbours and their distance in Å.
Fractional positions:
Au (0.0000, 0.5000, 0.5000)  8 Sr 3.39, 2 Au 3.76
Sr (0.5000, 0.0000, 0.5000)  4 Pb 3.39, 4 Au 3.39, 2 Sr 3.76
Sr (0.5000, 0.5000, 0.0000)  4 Au 3.39, 4 Pb 3.39, 2 Sr 3.76
Pb (0.0000, 0.0000, 0.0000)  8 Sr 3.39, 2 Pb 3.76


Entry from Alexandria: a PBEsol-optimized structure of Sr2PbAu (SCAN).

Computed properties:
- volume (A^3/atom) = 30.4
- total DFT energy (no corrections) (eV per cell) = -192.351

a b c (Å): 3.8210 5.2363 6.8964
angles (deg): 112.31 106.08 90.00
Last column: nearest neighbours and their distance in Å.
Fractional positions:
Sr (0.9990, 0.9990, 0.9980)  4 Au 3.24, 2 Pb 3.59, 2 Sr 3.63
Sr (0.7929, 0.2929, 0.5859)  2 Au 3.24, 4 Pb 3.43, 2 Sr 3.63
Au (0.5076, 0.5076, 0.0153)  2 Pb 3.03, 6 Sr 3.24
Pb (0.2004, 0.7004, 0.4009)  2 Au 3.03


Entry from Alexandria: a PBEsol-optimized structure of SrPbAu4 (SCAN).

Computed properties:
- volume (A^3/atom) = 21.2
- total DFT energy (no corrections) (eV per cell) = -377.462

a b c (Å): 5.6411 5.6411 5.6411
angles (deg): 60.00 60.00 60.00
Last column: nearest neighbours and their distance in Å.
Fractional positions:
Pb (0.7500, 0.7500, 0.7500)  12 Au 3.31, 4 Sr 3.45
Au (0.3750, 0.8749, 0.3750)  6 Au 2.82
Au (0.8749, 0.3750, 0.3750)  6 Au 2.82
Au (0.3750, 0.3750, 0.8749)  6 Au 2.82
Au (0.3750, 0.3750, 0.3750)  6 Au 2.82
Sr (0.0000, 0.0000, 0.0000)  12 Au 3.31, 4 Pb 3.45


Entry from Alexandria: a PBEsol-optimized structure of TbPbAu (SCAN).

Computed properties:
- volume (A^3/atom) = 25.4
- total DFT energy (no corrections) (eV per cell) = -194.617

a b c (Å): 4.7585 4.7585 4.7585
angles (deg): 60.00 60.00 60.00
Last column: nearest neighbours and their distance in Å.
Fractional positions:
Pb (0.0000, 0.0000, 0.0000)  4 Au 2.91
Au (0.2500, 0.2500, 0.2500)  4 Pb 2.91, 4 Tb 2.91
Tb (0.5000, 0.5000, 0.5000)  4 Au 2.91


Entry from Alexandria: a PBEsol-optimized structure of TcPb2Au (SCAN).

Computed properties:
- volume (A^3/atom) = 20.5
- total DFT energy (no corrections) (eV per cell) = -253.247

a b c (Å): 3.4116 4.8611 5.4085
angles (deg): 101.65 90.00 110.54
Last column: nearest neighbours and their distance in Å.
Fractional positions:
Tc (0.0000, 0.0000, 0.5000)  6 Pb 2.85-2.90
Pb (0.7410, 0.4821, 0.7328)  3 Tc 2.85-2.90, 3 Au 2.88-3.01, 2 Pb 3.08
Pb (0.2590, 0.5179, 0.2672)  3 Tc 2.85-2.90, 3 Au 2.88-3.01, 2 Pb 3.08
Au (0.5000, 0.0000, 0.0000)  6 Pb 2.88-3.01, 4 Tc 3.20


Entry from Alexandria: a PBEsol-optimized structure of YTc2PbAu (SCAN).

Computed properties:
- volume (A^3/atom) = 25.0
- total DFT energy (no corrections) (eV per cell) = -236.963

a b c (Å): 4.9569 4.9569 5.0885
angles (deg): 90.00 90.00 90.00
Last column: nearest neighbours and their distance in Å.
Fractional positions:
Y (0.5000, 0.5000, 0.5000)  4 Pb 3.51, 8 Tc 3.55
Tc (0.0000, 0.5000, 0.0000)  2 Au 2.48
Tc (0.5000, 0.0000, 0.0000)  2 Au 2.48
Pb (0.0000, 0.0000, 0.5000)  2 Au 2.54
Au (0.0000, 0.0000, 0.0000)  4 Tc 2.48, 2 Pb 2.54


Entry from Alexandria: a PBEsol-optimized structure of Te2PbAu (SCAN).

Computed properties:
- volume (A^3/atom) = 26.0
- total DFT energy (no corrections) (eV per cell) = -218.949
- formation energy without anion corrections (kJ/mol of formula units) = 47

a b c (Å): 3.2469 3.2469 10.1231
angles (deg): 90.00 90.00 102.84
Last column: nearest neighbours and their distance in Å.
Fractional positions:
Te (0.0000, 0.0000, 0.0126)  4 Te 3.25, 2 Pb 3.46
Te (0.5000, 0.5000, 0.7002)  2 Au 2.89
Pb (0.5000, 0.5000, 0.2901)  2 Au 2.91, 4 Pb 3.25
Au (0.0000, 0.0000, 0.4971)  2 Te 2.89, 2 Pb 2.91